Record 1
# Na2ZrSc2S6, relaxed, DFT GGA-PBE
data_Na2ZrSc2S6
_symmetry_space_group_name_H-M 'C 1 2/m 1'
_symmetry_Int_Tables_number 12
_cell_length_a 6.475
_cell_length_b 11.185
_cell_length_c 7.105
_cell_angle_alpha 90.00
_cell_angle_beta 107.72
_cell_angle_gamma 90.00
loop_
_symmetry_equiv_pos_as_xyz
'x,y,z'
'-x,-y,-z'
'-x,y,-z'
'x,-y,z'
'x+1/2,y+1/2,z'
'-x+1/2,-y+1/2,-z'
'-x+1/2,y+1/2,-z'
'x+1/2,-y+1/2,z'
loop_
_atom_site_label
_atom_site_fract_x
_atom_site_fract_y
_atom_site_fract_z
_atom_site_occupancy
Na1 0.000 0.167 0.000 1
Zr1 0.000 0.000 0.500 1
Sc1 0.000 0.333 0.500 1
S1 0.236 0.166 0.713 1
S2 0.240 0.500 0.713 1
# volume = 490.1 Å³ per cell
# magnetization = 0.000 μB/f.u.
# ΔE_f (raw) = -1691 meV/atom

=====

Record 2
# Si2SbRh, relaxed, DFT GGA-PBE
data_Si2SbRh
_symmetry_space_group_name_H-M 'C 1 m 1'
_symmetry_Int_Tables_number 8
_cell_length_a 7.698
_cell_length_b 3.436
_cell_length_c 6.029
_cell_angle_alpha 90.00
_cell_angle_beta 110.47
_cell_angle_gamma 90.00
loop_
_symmetry_equiv_pos_as_xyz
'x,y,z'
'x,-y,z'
'x+1/2,y+1/2,z'
'x+1/2,-y+1/2,z'
loop_
_atom_site_label
_atom_site_fract_x
_atom_site_fract_y
_atom_site_fract_z
_atom_site_occupancy
Si1 0.000 0.000 0.000 1
Si2 0.230 0.000 0.820 1
Sb1 0.205 0.500 0.399 1
Rh1 0.482 0.000 0.672 1
# volume = 149.4 Å³ per cell
# magnetization = 0.000 μB/f.u.
# ΔE_f (raw) = -85 meV/atom

=====

Record 3
# Ac2Sn3HgPt4, relaxed, DFT GGA-PBE
data_Ac2Sn3HgPt4
_symmetry_space_group_name_H-M 'P -4 m 2'
_symmetry_Int_Tables_number 115
_cell_length_a 4.707
_cell_length_b 4.707
_cell_length_c 10.830
_cell_angle_alpha 90.00
_cell_angle_beta 90.00
_cell_angle_gamma 90.00
loop_
_symmetry_equiv_pos_as_xyz
'x,y,z'
'y,-x,-z'
'-x,-y,z'
'-y,x,-z'
'-x,y,z'
'-y,-x,-z'
'x,-y,z'
'y,x,-z'
loop_
_atom_site_label
_atom_site_fract_x
_atom_site_fract_y
_atom_site_fract_z
_atom_site_occupancy
Ac1 0.000 0.500 0.246 1
Sn1 0.000 0.500 0.878 1
Sn2 0.500 0.500 0.500 1
Hg1 0.000 0.000 0.500 1
Pt1 0.000 0.000 0.000 1
Pt2 0.000 0.500 0.636 1
Pt3 0.500 0.500 0.000 1
# energy of formation from the pure elements = -0.82 eV/atom
# volume = 239.9 Å³ per cell
# magnetization = 0.000 μB/f.u.

=====

Record 4
# Be2CuPd2, relaxed, DFT GGA-PBE
data_Be2CuPd2
_symmetry_space_group_name_H-M 'P 4/m b m'
_symmetry_Int_Tables_number 127
_symmetry_space_group_name_Hall '-P 4 2ab'
_cell_length_a 6.461
_cell_length_b 6.461
_cell_length_c 2.811
_cell_angle_alpha 90.00
_cell_angle_beta 90.00
_cell_angle_gamma 90.00
loop_
_atom_site_label
_atom_site_fract_x
_atom_site_fract_y
_atom_site_fract_z
_atom_site_occupancy
Be1 0.129 0.371 0.000 1
Cu1 0.000 0.000 0.000 1
Pd1 0.166 0.666 0.500 1
# energy of formation from the pure elements = -0.40 eV/atom
# volume = 117.3 Å³ per cell
# distance to the lowest polymorph of the same formula = 0.00 eV/f.u.
# magnetization = 0.000 μB/f.u.

=====

Record 5
# VOsSeN2, relaxed, DFT GGA-PBE
data_VOsSeN2
_symmetry_space_group_name_H-M 'P 4/m m m'
_symmetry_Int_Tables_number 123
_symmetry_space_group_name_Hall '-P 4 2'
_cell_length_a 3.789
_cell_length_b 3.789
_cell_length_c 5.454
_cell_angle_alpha 90.00
_cell_angle_beta 90.00
_cell_angle_gamma 90.00
loop_
_atom_site_label
_atom_site_fract_x
_atom_site_fract_y
_atom_site_fract_z
_atom_site_occupancy
V1 0.000 0.000 0.000 1
Os1 0.500 0.500 0.500 1
Se1 0.500 0.500 0.000 1
N1 0.000 0.500 0.500 1
# volume = 78.3 Å³ per cell
# distance to the lowest polymorph of the same formula = 0.00 eV/f.u.
# magnetization = 2.897 μB/f.u.
# ΔE_f (raw) = 628 meV/atom

=====

Record 6
# MgSbTe2O, relaxed, DFT GGA-PBE
data_MgSbTe2O
_symmetry_space_group_name_H-M 'P 4/m m m'
_symmetry_Int_Tables_number 123
_symmetry_space_group_name_Hall '-P 4 2'
_cell_length_a 4.844
_cell_length_b 4.844
_cell_length_c 4.885
_cell_angle_alpha 90.00
_cell_angle_beta 90.00
_cell_angle_gamma 90.00
loop_
_atom_site_label
_atom_site_fract_x
_atom_site_fract_y
_atom_site_fract_z
_atom_site_occupancy
Mg1 0.000 0.000 0.000 1
Sb1 0.500 0.500 0.000 1
Te1 0.000 0.500 0.500 1
O1 0.500 0.500 0.500 1
# volume = 114.6 Å³ per cell
# distance to the lowest polymorph of the same formula = 0.00 eV/f.u.
# magnetization = 0.000 μB/f.u.
# ΔE_f (raw) = -52 meV/atom

=====

Record 7
# NaBePd3, relaxed, DFT GGA-PBE
data_NaBePd3
_symmetry_space_group_name_H-M 'P m -3 m'
_symmetry_Int_Tables_number 221
_symmetry_space_group_name_Hall '-P 4 2 3'
_cell_length_a 4.325
_cell_length_b 4.325
_cell_length_c 4.325
_cell_angle_alpha 90.00
_cell_angle_beta 90.00
_cell_angle_gamma 90.00
loop_
_atom_site_label
_atom_site_fract_x
_atom_site_fract_y
_atom_site_fract_z
_atom_site_occupancy
Na1 0.000 0.000 0.000 1
Be1 0.500 0.500 0.500 1
Pd1 0.000 0.500 0.500 1
# energy of formation from the pure elements = -0.17 eV/atom
# volume = 80.9 Å³ per cell
# distance to the lowest polymorph of the same formula = 0.00 eV/f.u.
# magnetization = 0.000 μB/f.u.

=====

Record 8
# LaY8Th6, relaxed, DFT GGA-PBE
data_LaY8Th6
_symmetry_space_group_name_H-M 'R -3'
_symmetry_Int_Tables_number 148
_symmetry_space_group_name_Hall '-R 3'
_cell_length_a 8.9051
_cell_length_b 8.9051
_cell_length_c 21.4342
_cell_angle_alpha 90.00
_cell_angle_beta 90.00
_cell_angle_gamma 120.00
loop_
_atom_site_label
_atom_site_fract_x
_atom_site_fract_y
_atom_site_fract_z
_atom_site_occupancy
La1 0.0000 0.0000 0.0000 1
Y1 0.0000 0.0000 0.4202 1
Y2 0.0582 0.8033 0.1341 1
Th1 0.0227 0.2445 0.7070 1
# energy of formation from the pure elements = 0.16 eV/atom
# volume = 1472.0 Å³ per cell
# magnetization = 0.000 μB/f.u.

=====

Record 9
# Ac2TbPm, relaxed, DFT GGA-PBE
data_Ac2TbPm
_symmetry_space_group_name_H-M 'C 1 2/m 1'
_symmetry_Int_Tables_number 12
_cell_length_a 12.263
_cell_length_b 3.832
_cell_length_c 6.636
_cell_angle_alpha 90.00
_cell_angle_beta 100.28
_cell_angle_gamma 90.00
loop_
_symmetry_equiv_pos_as_xyz
'x,y,z'
'-x,-y,-z'
'-x,y,-z'
'x,-y,z'
'x+1/2,y+1/2,z'
'-x+1/2,-y+1/2,-z'
'-x+1/2,y+1/2,-z'
'x+1/2,-y+1/2,z'
loop_
_atom_site_label
_atom_site_fract_x
_atom_site_fract_y
_atom_site_fract_z
_atom_site_occupancy
Ac1 0.249 0.000 0.248 1
Tb1 0.000 0.500 0.000 1
Pm1 0.000 0.000 0.500 1
# energy of formation from the pure elements = 0.03 eV/atom
# volume = 306.8 Å³ per cell
# distance to the lowest polymorph of the same formula = 0.00 eV/f.u.
# magnetization = 0.000 μB/f.u.

=====

Record 10
# SrFeCS2, relaxed, DFT GGA-PBE
data_SrFeCS2
_symmetry_space_group_name_H-M 'P 4/m m m'
_symmetry_Int_Tables_number 123
_symmetry_space_group_name_Hall '-P 4 2'
_cell_length_a 4.201
_cell_length_b 4.201
_cell_length_c 6.058
_cell_angle_alpha 90.00
_cell_angle_beta 90.00
_cell_angle_gamma 90.00
loop_
_atom_site_label
_atom_site_fract_x
_atom_site_fract_y
_atom_site_fract_z
_atom_site_occupancy
Sr1 0.000 0.000 0.000 1
Fe1 0.000 0.000 0.500 1
C1 0.500 0.500 0.000 1
S1 0.000 0.500 0.500 1
# volume = 106.9 Å³ per cell
# magnetization = 1.429 μB/f.u.
# ΔE_f (raw) = 901 meV/atom

=====

Record 11
# YZn2Ni2, relaxed, DFT GGA-PBE
data_YZn2Ni2
_symmetry_space_group_name_H-M 'P 4/m b m'
_symmetry_Int_Tables_number 127
_symmetry_space_group_name_Hall '-P 4 2ab'
_cell_length_a 7.322
_cell_length_b 7.322
_cell_length_c 2.856
_cell_angle_alpha 90.00
_cell_angle_beta 90.00
_cell_angle_gamma 90.00
loop_
_atom_site_label
_atom_site_fract_x
_atom_site_fract_y
_atom_site_fract_z
_atom_site_occupancy
Y1 0.000 0.000 0.000 1
Zn1 0.119 0.381 0.000 1
Ni1 0.178 0.678 0.500 1
# energy of formation from the pure elements = -0.20 eV/atom
# volume = 153.1 Å³ per cell
# distance to the lowest polymorph of the same formula = 0.81 eV/f.u.
# magnetization = 0.000 μB/f.u.

=====

Record 12
# BeZnSe4, relaxed, DFT GGA-PBE
data_BeZnSe4
_symmetry_space_group_name_H-M 'F -4 3 m'
_symmetry_Int_Tables_number 216
_symmetry_space_group_name_Hall 'F -4 2 3'
_cell_length_a 8.025
_cell_length_b 8.025
_cell_length_c 8.025
_cell_angle_alpha 90.00
_cell_angle_beta 90.00
_cell_angle_gamma 90.00
loop_
_atom_site_label
_atom_site_fract_x
_atom_site_fract_y
_atom_site_fract_z
_atom_site_occupancy
Be1 0.000 0.000 0.000 1
Zn1 0.250 0.250 0.750 1
Se1 0.125 0.125 0.375 1
# volume = 516.9 Å³ per cell
# magnetization = 0.000 μB/f.u.
# ΔE_f (raw) = 826 meV/atom